# Nb3CoCl | Alexandria via LeMat-Bulk | PBE | relaxed
# magnetic moment = 0.0 μB/f.u.
# calculated volume = 102 Å³/cell
# energy relative to the lowest polymorph listed for this composition = 0.0 kJ/mol of atoms
# symmetry = Pm-3m (221)
# density = 6.1 g/cm³
# total DFT energy (no corrections) = -6.93 eV per atom
# uncorrected formation energy = 0.91 eV/atom
# N(E_F) = 5.8 states/eV/cell
data_Nb3CoCl
_symmetry_space_group_name_H-M 'P 1'
_symmetry_Int_Tables_number 1
_cell_length_a 4.6709
_cell_length_b 4.6709
_cell_length_c 4.6709
_cell_angle_alpha 90.00
_cell_angle_beta 90.00
_cell_angle_gamma 90.00
loop_
_symmetry_equiv_pos_as_xyz
'x,y,z'
loop_
_atom_site_label
_atom_site_type_symbol
_atom_site_fract_x
_atom_site_fract_y
_atom_site_fract_z
Nb1 Nb 0.0000 0.0000 0.5000
Nb2 Nb 0.0000 0.5000 0.0000
Nb3 Nb 0.5000 0.0000 0.0000
Co1 Co 0.0000 0.0000 0.0000
Cl1 Cl 0.5000 0.5000 0.5000